# 1
Material: Tl3NiPt
Method: DFT, GGA-PBEsol
State: optimized geometry

a b c (Å): 5.1999 5.1999 5.1999
angles (deg): 90.00 90.00 90.00
Last column: nearest neighbours and their distance in Å.
Fractional positions:
Ni 0.5000 0.5000 0.5000  12 Tl 3.68
Tl 0.0000 0.0000 0.5000  2 Pt 2.60
Pt 0.0000 0.0000 0.0000  6 Tl 2.60
Tl 0.0000 0.5000 0.0000  2 Pt 2.60
Tl 0.5000 0.0000 0.0000  2 Pt 2.60

theoretical density = 10.24 Mg/m³
energy relative to the elements = 678.1 meV per atom
space-group type = Pm-3m, No. 221
E_tot = -17.6 eV per formula unit

# 2
Material: GaP2PtO
Method: DFT, GGA-PBEsol
State: optimized geometry

a b c (Å): 3.7075 4.8151 4.8151
angles (deg): 90.00 90.00 90.00
Last column: nearest neighbours and their distance in Å.
Fractional positions:
O 0.5000 0.0000 0.0000  2 Pt 1.85
Pt 0.0000 0.0000 0.0000  2 O 1.85
P 0.0000 0.0000 0.5000  2 Pt 2.41
Ga 0.5000 0.5000 0.5000  8 P 3.04
P 0.0000 0.5000 0.0000  2 Pt 2.41

energy relative to the elements, uncorrected = 391 meV/atom
theoretical density = 6.62 Mg/m³
E above lowest polymorph = 0.0 kJ/mol of atoms
space-group type = P4/mmm, No. 123
E_tot = -25.2 eV per formula unit

# 3
Material: MoSeIBr2
Method: DFT, GGA-PBEsol
State: optimized geometry

a b c (Å): 4.9087 5.0233 5.0233
angles (deg): 90.00 90.00 90.00
Last column: nearest neighbours and their distance in Å.
Fractional positions:
Mo 0.0000 0.0000 0.0000  2 Se 2.45, 4 Br 2.51
Br 0.0000 0.5000 0.0000  2 Mo 2.51
Se 0.5000 0.0000 0.0000  2 Mo 2.45
Br 0.0000 0.0000 0.5000  2 Mo 2.51
I 0.5000 0.5000 0.5000  8 Br 3.51, 4 Se 3.55

energy relative to the elements, uncorrected = 53 meV/atom
theoretical density = 6.19 Mg/m³
space-group type = P4/mmm, No. 123
E_tot = -20.9 eV per formula unit

# 4
Material: BaIr2
Method: DFT, GGA-PBEsol
State: optimized geometry

a b c (Å): 5.0569 6.4548 5.0569
angles (deg): 66.94 90.00 113.06
Last column: nearest neighbours and their distance in Å.
Fractional positions:
Ir 0.6789 0.0000 0.8211  5 Ir 2.56-2.63
Ba 0.7500 0.5000 0.2500  8 Ir 3.27, 4 Ba 3.58
Ir 0.1789 0.0000 0.6789  5 Ir 2.56-2.63
Ir 0.8211 0.0000 0.3211  5 Ir 2.56-2.63
Ba 0.2500 0.5000 0.7500  8 Ir 3.27, 4 Ba 3.58
Ir 0.3211 0.0000 0.1789  5 Ir 2.56-2.63

theoretical density = 12.61 Mg/m³
energy relative to the elements = 106.8 meV per atom
space-group type = I4/mcm, No. 140
E_tot = -21.5 eV per formula unit

# 5
Material: CdGa2Pb
Method: DFT, GGA-PBEsol
State: optimized geometry

a b c (Å): 5.0133 5.0133 5.0133
angles (deg): 60.00 60.00 60.00
Last column: nearest neighbours and their distance in Å.
Fractional positions:
Ga 0.7500 0.7500 0.7500  4 Pb 3.07, 4 Cd 3.07
Cd 0.0000 0.0000 0.0000  8 Ga 3.07
Ga 0.2500 0.2500 0.2500  4 Cd 3.07, 4 Pb 3.07
Pb 0.5000 0.5000 0.5000  8 Ga 3.07

theoretical density = 8.56 Mg/m³
energy relative to the elements = 109.6 meV per atom
space-group type = Fm-3m, No. 225
E_tot = -11.4 eV per formula unit

# 6
Material: KLa2Ag
Method: DFT, GGA-PBEsol
State: optimized geometry

a b c (Å): 3.7735 3.7735 9.8499
angles (deg): 90.00 90.00 90.00
Last column: nearest neighbours and their distance in Å.
Fractional positions:
K 0.5000 0.5000 0.6977  4 Ag 3.58, 4 K 3.77, 1 La 3.96
Ag 0.0000 0.0000 0.4554  4 La 3.10
La 0.5000 0.5000 0.2956  4 Ag 3.10
La 0.0000 0.0000 0.0513  8 La 3.59-3.77, 1 Ag 3.98

theoretical density = 5.03 Mg/m³
E above lowest polymorph = 0.0 kJ/mol of atoms
energy relative to the elements = 98.2 meV per atom
space-group type = P4mm, No. 99
E_tot = -14.7 eV per formula unit

# 7
Material: ZrCu2Sb
Method: DFT, GGA-PBEsol
State: optimized geometry

a b c (Å): 3.0770 4.2200 5.3972
angles (deg): 90.00 90.00 90.00
Last column: nearest neighbours and their distance in Å.
Fractional positions:
Cu 0.7496 0.0000 0.0010  2 Cu 2.43, 2 Sb 2.70
Cu 0.7506 0.5000 0.2242  2 Cu 2.43, 2 Sb 2.59
Zr 0.2499 0.5000 0.7734  6 Cu 2.88-2.89, 4 Sb 3.00, 2 Zr 3.08
Sb 0.7499 0.0000 0.5014  4 Cu 2.59-2.70

energy relative to the elements, uncorrected = -107 meV/atom
theoretical density = 8.06 Mg/m³
space-group type = Pmm2, No. 25
E_tot = -22.7 eV per formula unit

# 8
Material: SrCa2Au2
Method: DFT, GGA-PBEsol
State: optimized geometry

a b c (Å): 4.1630 8.1197 8.1197
angles (deg): 90.00 90.00 90.00
Last column: nearest neighbours and their distance in Å.
Fractional positions:
Au 0.0000 0.6308 0.1308  1 Au 3.00, 6 Ca 3.13-3.21, 2 Sr 3.18
Ca 0.5000 0.3439 0.1561  6 Au 3.13-3.21
Au 0.0000 0.1308 0.3692  1 Au 3.00, 6 Ca 3.13-3.21, 2 Sr 3.18
Ca 0.5000 0.8439 0.3439  6 Au 3.13-3.21
Ca 0.5000 0.1561 0.6561  6 Au 3.13-3.21
Sr 0.0000 0.0000 0.0000  4 Au 3.18
Ca 0.5000 0.6561 0.8439  6 Au 3.13-3.21
Sr 0.0000 0.5000 0.5000  4 Au 3.18
Au 0.0000 0.8692 0.6308  1 Au 3.00, 6 Ca 3.13-3.21, 2 Sr 3.18
Au 0.0000 0.3692 0.8692  1 Au 3.00, 6 Ca 3.13-3.21, 2 Sr 3.18

theoretical density = 6.80 Mg/m³
E above lowest polymorph = 0.0 kJ/mol of atoms
energy relative to the elements = -626.3 meV per atom
space-group type = P4/mbm, No. 127
E_tot = -17.1 eV per formula unit

Q: Number 6 is which compound?
A: KLa2Ag

Q: Which value of E_tot does entry 7 give?
A: -22.7 eV per formula unit

Q: Which of these has the highest E_tot?
A: CdGa2Pb

Q: The lowest E_tot belongs to which entry?
A: GaP2PtO